*one*
Density functional theory data (PBE) for a geometry-optimized La3PrNd structure.

```
data_La3PrNd
_symmetry_space_group_name_H-M 'P 1'
_symmetry_Int_Tables_number 1
_symmetry_space_group_name_Hall 'P 1'
_cell_length_a 6.7075
_cell_length_b 6.7141
_cell_length_c 10.0767
_cell_angle_alpha 90.28
_cell_angle_beta 108.71
_cell_angle_gamma 119.91
loop_
_atom_site_label
_atom_site_type_symbol
_atom_site_fract_x
_atom_site_fract_y
_atom_site_fract_z
La1 La 0.1360 0.4732 0.1880
La2 La 0.2775 0.3438 0.8118
La3 La 0.3088 0.1535 0.4602
La4 La 0.6912 0.8465 0.5398
La5 La 0.7225 0.6562 0.1882
La6 La 0.8640 0.5268 0.8120
Pr1 Pr 0.4597 0.9382 0.8118
Pr2 Pr 0.5403 0.0618 0.1882
Nd1 Nd 0.0000 0.0000 0.0000
Nd2 Nd 0.0000 0.5000 0.5000
```

calculated volume	36.5	Å³ per atom


*two*
Density functional theory data (PBE) for a geometry-optimized La3PrNd structure.

```
data_La3PrNd
_symmetry_space_group_name_H-M 'P 1'
_symmetry_Int_Tables_number 1
_symmetry_space_group_name_Hall 'P 1'
_cell_length_a 7.9463
_cell_length_b 7.9463
_cell_length_c 6.8521
_cell_angle_alpha 90.00
_cell_angle_beta 90.00
_cell_angle_gamma 120.67
loop_
_atom_site_label
_atom_site_type_symbol
_atom_site_fract_x
_atom_site_fract_y
_atom_site_fract_z
La1 La 0.0000 0.0000 0.0000
La2 La 0.0000 0.0000 0.5000
La3 La 0.1939 0.3921 0.7500
La4 La 0.3921 0.1939 0.2500
La5 La 0.6079 0.8061 0.7500
La6 La 0.8061 0.6079 0.2500
Pr1 Pr 0.1981 0.8019 0.7500
Pr2 Pr 0.8019 0.1981 0.2500
Nd1 Nd 0.3323 0.6677 0.2500
Nd2 Nd 0.6677 0.3323 0.7500
```

calculated volume	37.2	Å³ per atom


It turns out *one* is the most stable, with the second structure 13.9 kJ/mol of atoms higher.